No. 1
Er2Tm3Hg4 | GGA-PBE | relaxed

Cell and atoms, written as CIF:
```
data_Er2Tm3Hg4
_chemical_formula_sum 'Er8 Tm12 Hg16'
_cell_length_a 6.884
_cell_length_b 17.832
_cell_length_c 7.877
_cell_angle_alpha 90.00
_cell_angle_beta 90.00
_cell_angle_gamma 90.00
_symmetry_space_group_name_H-M 'C m c e'
_symmetry_Int_Tables_number 64
_symmetry_space_group_name_Hall '-C 2ac 2'
loop_
_atom_site_label
_atom_site_type_symbol
_atom_site_fract_x
_atom_site_fract_y
_atom_site_fract_z
Er1 Er 0.000 0.095 0.089
Tm1 Tm 0.000 0.000 0.500
Tm2 Tm 0.250 0.238 0.750
Hg1 Hg 0.000 0.166 0.466
Hg2 Hg 0.250 0.067 0.750
```

Results
**Energy of formation**: -2.9 eV per formula unit
**Crystal system**: orthorhombic
**Magnetic moment**: 0.0 μB/cell
**Uncorrected energy**: -2.956 eV per atom

***

No. 2
Er4TmHg | GGA-PBE | relaxed

Cell and atoms, written as CIF:
```
data_Er4TmHg
_chemical_formula_sum 'Er4 Tm1 Hg1'
_cell_length_a 3.524
_cell_length_b 3.524
_cell_length_c 13.918
_cell_angle_alpha 90.00
_cell_angle_beta 90.00
_cell_angle_gamma 90.00
_symmetry_space_group_name_H-M 'P 4/m m m'
_symmetry_Int_Tables_number 123
_symmetry_space_group_name_Hall '-P 4 2'
loop_
_atom_site_label
_atom_site_type_symbol
_atom_site_fract_x
_atom_site_fract_y
_atom_site_fract_z
Er1 Er 0.000 0.000 0.145
Er2 Er 0.500 0.500 0.324
Tm1 Tm 0.000 0.000 0.500
Hg1 Hg 0.500 0.500 0.000
```

Results
**Energy of formation**: -0.8 eV per formula unit
**Crystal system**: tetragonal
**Polymorph energy (0 for the lowest one)**: 0 meV per atom
**Magnetic moment**: 0.0 μB/cell
**Uncorrected energy**: -3.979 eV per atom

***

No. 3
Er2Tm8Hg | GGA-PBE | relaxed

Cell and atoms, written as CIF:
```
data_Er2Tm8Hg
_chemical_formula_sum 'Er4 Tm16 Hg2'
_cell_length_a 19.076
_cell_length_b 5.456
_cell_length_c 6.261
_cell_angle_alpha 90.00
_cell_angle_beta 95.59
_cell_angle_gamma 90.00
_symmetry_space_group_name_H-M 'C 1 2/m 1'
_symmetry_Int_Tables_number 12
loop_
_symmetry_equiv_pos_as_xyz
'x,y,z'
'-x,-y,-z'
'-x,y,-z'
'x,-y,z'
'x+1/2,y+1/2,z'
'-x+1/2,-y+1/2,-z'
'-x+1/2,y+1/2,-z'
'x+1/2,-y+1/2,z'
loop_
_atom_site_label
_atom_site_type_symbol
_atom_site_fract_x
_atom_site_fract_y
_atom_site_fract_z
Er1 Er 0.244 0.000 0.331
Tm1 Tm 0.045 0.000 0.267
Tm2 Tm 0.078 0.500 0.603
Tm3 Tm 0.156 0.000 0.799
Tm4 Tm 0.159 0.500 0.126
Hg1 Hg 0.000 0.500 0.000
```

Results
**Energy of formation**: -0.6 eV per formula unit
**Crystal system**: monoclinic
**Magnetic moment**: 0.0 μB/cell
**Uncorrected energy**: -4.159 eV per atom

***

No. 4
Er2TmHg3 | GGA-PBE | relaxed

Cell and atoms, written as CIF:
```
data_Er2TmHg3
_chemical_formula_sum 'Er4 Tm2 Hg6'
_cell_length_a 5.2043
_cell_length_b 5.2043
_cell_length_c 12.8092
_cell_angle_alpha 90.00
_cell_angle_beta 90.00
_cell_angle_gamma 120.00
_symmetry_space_group_name_H-M 'P -3 m 1'
_symmetry_Int_Tables_number 164
_symmetry_space_group_name_Hall '-P 3 2"'
loop_
_atom_site_label
_atom_site_type_symbol
_atom_site_fract_x
_atom_site_fract_y
_atom_site_fract_z
Er1 Er 0.0000 0.0000 0.0000
Er2 Er 0.0000 0.0000 0.5000
Er3 Er 0.3333 0.6667 0.1673
Tm1 Tm 0.3333 0.6667 0.6669
Hg1 Hg 0.0000 0.0000 0.2505
Hg2 Hg 0.3333 0.6667 0.4170
Hg3 Hg 0.3333 0.6667 0.9165
```

Results
**Energy of formation**: -2.9 eV per formula unit
**Crystal system**: trigonal
**Polymorph energy (0 for the lowest one)**: 4 meV per atom
**Magnetic moment**: 0.0 μB/cell
**Uncorrected energy**: -2.893 eV per atom

***

Question: What is the formula in the third record?
Answer: Er2Tm8Hg